# BeReTe4 (PBE-GGA, optimized geometry)
data_BeReTe4
_space_group_name_H-M_alt 'F -4 3 m'
_space_group_IT_number 216
_space_group_name_Hall 'F -4 2 3'
_cell_length_a 8.8558
_cell_length_b 8.8558
_cell_length_c 8.8558
_cell_angle_alpha 90.00
_cell_angle_beta 90.00
_cell_angle_gamma 90.00
loop_
_atom_site_label
_atom_site_fract_x
_atom_site_fract_y
_atom_site_fract_z
_atom_site_occupancy
Be1 0.0000 0.0000 0.0000 1
Re1 0.2500 0.2500 0.7500 1
Te1 0.1245 0.1245 0.3755 1
# Total energy ... -3.13 eV/atom
# Uncorrected formation energy ... 1.657 eV per atom
# Size of the total moment ... 19.2 μB per cell
# V ... 28.938 Å³/atom


# BiSeCl3 (PBE-GGA, optimized geometry)
data_BiSeCl3
_space_group_name_H-M_alt 'P m -3 m'
_space_group_IT_number 221
_space_group_name_Hall '-P 4 2 3'
_cell_length_a 5.4585
_cell_length_b 5.4585
_cell_length_c 5.4585
_cell_angle_alpha 90.00
_cell_angle_beta 90.00
_cell_angle_gamma 90.00
loop_
_atom_site_label
_atom_site_fract_x
_atom_site_fract_y
_atom_site_fract_z
_atom_site_occupancy
Bi1 0.0000 0.0000 0.0000 1
Se1 0.5000 0.5000 0.5000 1
Cl1 0.0000 0.0000 0.5000 1
# Total energy ... -2.78 eV/atom
# Uncorrected formation energy ... -0.203 eV per atom
# Size of the total moment ... 2.0 μB per cell
# V ... 32.527 Å³/atom
# Energy above the lowest structure with this stoichiometry ... 453 meV/atom


# K2ThBr2Cl4 (PBE-GGA, optimized geometry)
data_K2ThBr2Cl4
_space_group_name_H-M_alt 'I 4/m m m'
_space_group_IT_number 139
_space_group_name_Hall '-I 4 2'
_cell_length_a 7.5736
_cell_length_b 7.5736
_cell_length_c 11.2205
_cell_angle_alpha 90.00
_cell_angle_beta 90.00
_cell_angle_gamma 90.00
loop_
_atom_site_label
_atom_site_fract_x
_atom_site_fract_y
_atom_site_fract_z
_atom_site_occupancy
K1 0.0000 0.5000 0.2500 1
Th1 0.0000 0.0000 0.0000 1
Br1 0.0000 0.0000 0.2554 1
Cl1 0.2492 0.2492 0.0000 1
# Total energy ... -4.22 eV/atom
# Uncorrected formation energy ... -1.961 eV per atom
# Size of the total moment ... 0.0 μB per cell
# V ... 35.755 Å³/atom


# Ho2Zn5PdRu2 (PBE-GGA, optimized geometry)
data_Ho2Zn5PdRu2
_space_group_name_H-M_alt 'P 4/m b m'
_space_group_IT_number 127
_space_group_name_Hall '-P 4 2ab'
_cell_length_a 9.5134
_cell_length_b 9.5134
_cell_length_c 3.8453
_cell_angle_alpha 90.00
_cell_angle_beta 90.00
_cell_angle_gamma 90.00
loop_
_atom_site_label
_atom_site_fract_x
_atom_site_fract_y
_atom_site_fract_z
_atom_site_occupancy
Ho1 0.1744 0.3256 0.0000 1
Zn1 0.0000 0.5000 0.5000 1
Zn2 0.0571 0.8048 0.5000 1
Pd1 0.0000 0.0000 0.0000 1
Ru1 0.1275 0.6275 0.0000 1
# Total energy ... -4.21 eV/atom
# Formation energy ... -275 kJ/mol of formula units
# Size of the total moment ... 0.0 μB per cell
# V ... 17.401 Å³/atom


# La2TbPd (PBE-GGA, optimized geometry)
data_La2TbPd
_space_group_name_H-M_alt 'R 3 m'
_space_group_IT_number 160
_space_group_name_Hall 'R 3 -2"'
_cell_length_a 3.9187
_cell_length_b 3.9187
_cell_length_c 28.8954
_cell_angle_alpha 90.00
_cell_angle_beta 90.00
_cell_angle_gamma 120.00
loop_
_atom_site_label
_atom_site_fract_x
_atom_site_fract_y
_atom_site_fract_z
_atom_site_occupancy
La1 0.0000 0.0000 0.0000 1
La2 0.0000 0.0000 0.2004 1
Tb1 0.0000 0.0000 0.7676 1
Pd1 0.0000 0.0000 0.6000 1
# Total energy ... -5.19 eV/atom
# Formation energy ... -103 kJ/mol of formula units
# Size of the total moment ... 0.0 μB per cell
# V ... 32.024 Å³/atom
# Energy above the lowest structure with this stoichiometry ... 150 meV/atom


# HfCoSn2 (PBE-GGA, optimized geometry)
data_HfCoSn2
_space_group_name_H-M_alt 'F m -3 m'
_space_group_IT_number 225
_space_group_name_Hall '-F 4 2 3'
_cell_length_a 6.7829
_cell_length_b 6.7829
_cell_length_c 6.7829
_cell_angle_alpha 90.00
_cell_angle_beta 90.00
_cell_angle_gamma 90.00
loop_
_atom_site_label
_atom_site_fract_x
_atom_site_fract_y
_atom_site_fract_z
_atom_site_occupancy
Hf1 0.0000 0.0000 0.0000 1
Co1 0.0000 0.0000 0.5000 1
Sn1 0.2500 0.2500 0.2500 1
# Total energy ... -6.07 eV/atom
# Formation energy ... 77 kJ/mol of formula units
# Size of the total moment ... 4.1 μB per cell
# V ... 19.504 Å³/atom
# Energy above the lowest structure with this stoichiometry ... 0 meV/atom